No. 1
# BaSmCdHg

An optimized crystal structure of BaSmCdHg (PBE-GGA, Alexandria via LeMat-Bulk).

```
4
Lattice="-4.7102 -0.7054 -3.0738 -3.6357 -4.1510 1.2971 -5.0563 1.2562 2.2332" Properties=species:S:1:pos:R:3 pbc="T T T"
Sm -6.7011 -1.8001 0.2282
Ba 0.0000 0.0000 0.0000
Cd -10.0516 -2.7002 0.3424
Hg -3.3505 -0.9001 0.1141
```

Computed properties:
**V**: 32.20 A^3/atom
**Energy relative to the elements**: -1.19 eV/f.u.
**Space group**: F-43m
**Spin magnetization**: 0.00 μB per cell

=====

No. 2
# PuNi2

An optimized crystal structure of PuNi2 (PBE-GGA, Alexandria via LeMat-Bulk).

```
6
Lattice="5.0383 0.0000 0.0000 2.5191 4.3633 0.0000 2.5191 1.4544 4.1138" Properties=species:S:1:pos:R:3 pbc="T T T"
Pu 0.0000 0.0000 0.0000
Ni 6.2979 3.6361 2.5711
Ni 5.0383 1.4544 2.5711
Ni 5.0383 2.9089 0.5142
Ni 3.7787 3.6361 2.5711
Pu 2.5191 1.4544 1.0284
```

Computed properties:
**V**: 15.07 A^3/atom
**Energy relative to the elements**: -0.83 eV/f.u.
**Space group**: Fd-3m
**Spin magnetization**: 10.28 μB per cell

=====

No. 3
# BaCoW3

An optimized crystal structure of BaCoW3 (PBE-GGA, Alexandria via LeMat-Bulk).

```
5
Lattice="4.7137 0.0000 0.0000 0.0000 4.7137 0.0000 0.0000 0.0000 4.7137" Properties=species:S:1:pos:R:3 pbc="T T T"
W 0.0000 2.3569 0.0000
Ba 2.3569 2.3569 2.3569
W 0.0000 0.0000 2.3569
Co 0.0000 0.0000 0.0000
W 2.3569 0.0000 0.0000
```

Computed properties:
**V**: 20.95 A^3/atom
**Energy relative to the elements**: 8.28 eV/f.u.
**Space group**: Pm-3m
**Spin magnetization**: 1.71 μB per cell

=====

No. 4
# P2RhCO

An optimized crystal structure of P2RhCO (PBE-GGA, Alexandria via LeMat-Bulk).

```
5
Lattice="4.6890 0.0000 0.0000 0.0000 4.6890 0.0000 0.0000 0.0000 3.6461" Properties=species:S:1:pos:R:3 pbc="T T T"
Rh 0.0000 0.0000 0.0000
P 2.3445 0.0000 0.0000
O 0.0000 0.0000 1.8231
P 0.0000 2.3445 0.0000
C 2.3445 2.3445 1.8231
```

Computed properties:
**V**: 16.03 A^3/atom
**Space group**: P4/mmm
**Formation energy from raw total energies**: 1531.3 meV per atom
**Spin magnetization**: 0.33 μB per cell

=====

No. 5
# PrTm2Sc4

An optimized crystal structure of PrTm2Sc4 (PBE-GGA, Alexandria via LeMat-Bulk).

```
14
Lattice="-1.1292 -6.4033 -5.2447 4.7682 6.7203 -3.4933 3.2047 -2.9935 5.1264" Properties=species:S:1:pos:R:3 pbc="T T T"
Pr 5.2907 2.3944 -1.3899
Sc 2.5758 -3.2692 -0.7782
Pr 1.1601 -0.1654 -0.2885
Tm 3.7148 3.8782 -3.9794
Tm 3.9257 -6.2312 -1.1647
Sc 7.0242 -0.5226 -1.9229
Sc 2.8408 -0.5653 -6.0266
Sc 4.4425 -0.7536 -0.4249
Sc 5.3814 0.9959 -4.5174
Sc 0.9782 -1.7733 -3.3370
Tm 4.4333 -2.1210 -3.4826
Tm 2.7285 -1.6322 2.2854
Sc 2.7973 0.7647 -3.0555
Sc 2.3039 -4.7988 -3.6936
```

Computed properties:
**V**: 27.78 A^3/atom
**Energy relative to the elements**: 0.33 eV/f.u.
**Space group**: P1
**Spin magnetization**: 0.00 μB per cell

=====

No. 6
# PmZrSc3

An optimized crystal structure of PmZrSc3 (PBE-GGA, Alexandria via LeMat-Bulk).

```
10
Lattice="-0.9481 -3.7368 3.2278 4.4323 -4.0403 -3.3754 5.8040 2.5126 4.6138" Properties=species:S:1:pos:R:3 pbc="T T T"
Pm 6.2399 -2.5995 0.7815
Sc 1.1517 -0.5414 1.6697
Sc 3.0579 -2.2790 0.2181
Sc 6.2303 -2.9854 4.2482
Zr 0.8146 -3.6319 1.9090
Pm 3.0483 -2.6649 3.6847
Zr 8.4736 -1.6325 2.5572
Sc 3.6436 -5.3867 0.7084
Sc 5.6446 0.1223 3.7578
Sc 8.1365 -4.7230 2.7965
```

Computed properties:
**V**: 27.09 A^3/atom
**Energy relative to the elements**: 0.70 eV/f.u.
**Space group**: Pmmn
**Spin magnetization**: 0.00 μB per cell

=====

No. 7
# CaLaBiW2

An optimized crystal structure of CaLaBiW2 (PBE-GGA, Alexandria via LeMat-Bulk).

```
5
Lattice="-0.6806 4.7445 -1.9681 1.9392 -1.8924 -5.2324 -4.8452 -1.2521 -1.3429" Properties=species:S:1:pos:R:3 pbc="T T T"
W -0.3403 2.3723 -0.9841
Bi 0.0000 0.0000 0.0000
W -2.4226 -0.6261 -0.6714
Ca -1.7933 0.8000 -4.2717
La 0.9696 -0.9462 -2.6162
```

Computed properties:
**V**: 31.64 A^3/atom
**Energy relative to the elements**: 8.78 eV/f.u.
**Space group**: P4/mmm
**Spin magnetization**: 0.00 μB per cell

=====

No. 8
# RbTlH2

An optimized crystal structure of RbTlH2 (PBE-GGA, Alexandria via LeMat-Bulk).

```
4
Lattice="-1.1263 0.9386 3.0631 0.2105 -4.6865 1.5134 4.6455 0.6918 1.4962" Properties=species:S:1:pos:R:3 pbc="T T T"
H 0.1052 -2.3433 0.7567
H 2.3228 0.3459 0.7481
Rb -0.5632 0.4693 1.5316
Tl 1.8648 -1.5281 3.0364
```

Computed properties:
**V**: 20.63 A^3/atom
**Space group**: P4/mmm
**Calculated total energy**: -9.231 eV per cell
**Spin magnetization**: 0.00 μB per cell

=====

Question: Which value of V does entry 4 give?
Answer: 16.03 A^3/atom

=====

Question: What is the formula in the fourth record?
Answer: P2RhCO

=====

Question: The lowest V belongs to which entry?
Answer: PuNi2